Compound: TbY5Ho12
Source: Alexandria via LeMat-Bulk
Functional: PBE-GGA
Structure: relaxed

Unit cell a=15.0067 b=15.0368 c=5.0018 alpha=90.00 beta=90.00 gamma=90.00
Space group Cmmm (No. 65)
Inequivalent atoms, fractional coordinates:
Tb  0.0000  0.0000  0.0000 x2
Y  0.0000  0.1663  0.5000 x4
Y  0.0000  0.3334  0.0000 x4
Y  0.0000  0.5000  0.5000 x2
Ho  0.1674  0.0000  0.5000 x4
Ho  0.1676  0.1665  0.0000 x8
Ho  0.1678  0.3334  0.5000 x8
Ho  0.1678  0.5000  0.0000 x4

Its formation energy is 2.2 kJ per mole of atoms. The value obtained for the density is 7.6 g/cm3.

Compound: TlGaIO2
Source: Alexandria via LeMat-Bulk
Functional: PBE-GGA
Structure: relaxed

Unit cell a=4.3460 b=4.3460 c=6.5994 alpha=90.00 beta=90.00 gamma=90.00
Space group P4/mmm (No. 123)
Inequivalent atoms, fractional coordinates:
Tl  0.0000  0.0000  0.0000 x1
Ga  0.5000  0.5000  0.5000 x1
I  0.0000  0.0000  0.5000 x1
O  0.0000  0.5000  0.0000 x2

As for the uncorrected formation energy: 0.0420 eV/atom. The value obtained for the density is 5.8 g/cm3.

Compound: ReSIO2
Source: Alexandria via LeMat-Bulk
Functional: PBE-GGA
Structure: relaxed

Unit cell a=3.8313 b=3.8313 c=5.8985 alpha=90.00 beta=90.00 gamma=90.00
Space group P4/mmm (No. 123)
Inequivalent atoms, fractional coordinates:
Re  0.0000  0.0000  0.0000 x1
S  0.5000  0.5000  0.5000 x1
I  0.0000  0.0000  0.5000 x1
O  0.0000  0.5000  0.0000 x2

As for the uncorrected formation energy: -0.4491 eV/atom. The value obtained for the density is 7.2 g/cm3.

Compound: NaTlBi2
Source: Alexandria via LeMat-Bulk
Functional: PBE-GGA
Structure: relaxed

Unit cell a=3.4118 b=3.4118 c=10.5954 alpha=90.00 beta=90.00 gamma=90.00
Space group P4/mmm (No. 123)
Inequivalent atoms, fractional coordinates:
Na  0.0000  0.0000  0.0000 x1
Tl  0.0000  0.0000  0.5000 x1
Bi  0.5000  0.5000  0.2378 x2

Its formation energy is -13.8 kJ per mole of atoms. The value obtained for the density is 8.7 g/cm3.

Compound: Sm15Dy4Er
Source: Alexandria via LeMat-Bulk
Functional: PBE-GGA
Structure: relaxed

Unit cell a=5.1005 b=5.1005 c=25.4371 alpha=90.00 beta=90.00 gamma=90.00
Space group P4/mmm (No. 123)
Inequivalent atoms, fractional coordinates:
Sm  0.0000  0.0000  0.0000 x1
Sm  0.0000  0.0000  0.1999 x2
Sm  0.0000  0.0000  0.4001 x2
Sm  0.0000  0.5000  0.0998 x4
Sm  0.0000  0.5000  0.3001 x4
Sm  0.0000  0.5000  0.5000 x2
Dy  0.5000  0.5000  0.1999 x2
Dy  0.5000  0.5000  0.4001 x2
Er  0.5000  0.5000  0.0000 x1

Its formation energy is 1.5 kJ per mole of atoms. The value obtained for the density is 7.7 g/cm3.

Compound: KAsPt2
Source: Alexandria via LeMat-Bulk
Functional: PBE-GGA
Structure: relaxed

Unit cell a=4.0999 b=4.0999 c=5.9107 alpha=90.00 beta=90.00 gamma=90.00
Space group P4mm (No. 99)
Inequivalent atoms, fractional coordinates:
K  0.0000  0.0000  0.0000 x1
As  0.5000  0.5000  0.6715 x1
Pt  0.0000  0.5000  0.4588 x2

Its formation energy is -33.9 kJ per mole of atoms. The value obtained for the density is 8.4 g/cm3.

Compound: CaNdHoMg
Source: Alexandria via LeMat-Bulk
Functional: PBE-GGA
Structure: relaxed

Unit cell a=7.9651 b=7.9651 c=7.9651 alpha=90.00 beta=90.00 gamma=90.00
Space group F-43m (No. 216)
Inequivalent atoms, fractional coordinates:
Ca  0.0000  0.0000  0.0000 x4
Nd  0.2500  0.2500  0.7500 x4
Ho  0.2500  0.2500  0.2500 x4
Mg  0.0000  0.0000  0.5000 x4

Its formation energy is 6.0 kJ per mole of atoms. The value obtained for the density is 4.9 g/cm3.

Compound: Y2PuSc
Source: Alexandria via LeMat-Bulk
Functional: PBE-GGA
Structure: relaxed

Unit cell a=7.7533 b=7.7533 c=7.7533 alpha=90.00 beta=90.00 gamma=90.00
Space group Fm-3m (No. 225)
Inequivalent atoms, fractional coordinates:
Y  0.2500  0.2500  0.2500 x8
Pu  0.0000  0.0000  0.0000 x4
Sc  0.0000  0.0000  0.5000 x4

Its formation energy is 19.0 kJ per mole of atoms. The value obtained for the density is 6.7 g/cm3.

Compound: SrCaMo2
Source: Alexandria via LeMat-Bulk
Functional: PBE-GGA
Structure: relaxed

Unit cell a=3.3968 b=3.3968 c=9.3603 alpha=90.00 beta=90.00 gamma=90.00
Space group P4mm (No. 99)
Inequivalent atoms, fractional coordinates:
Sr  0.0000  0.0000  0.0000 x1
Ca  0.5000  0.5000  0.3859 x1
Mo  0.0000  0.0000  0.6254 x1
Mo  0.5000  0.5000  0.7380 x1

Its formation energy is 44.4 kJ per mole of atoms. The value obtained for the density is 4.9 g/cm3.

Compound: Tl12HgSb3
Source: Alexandria via LeMat-Bulk
Functional: PBE-GGA
Structure: relaxed

Unit cell a=5.0144 b=5.0144 c=19.6146 alpha=90.00 beta=90.00 gamma=90.00
Space group P4/mmm (No. 123)
Inequivalent atoms, fractional coordinates:
Tl  0.0000  0.0000  0.0000 x1
Tl  0.0000  0.0000  0.2448 x2
Tl  0.0000  0.0000  0.5000 x1
Tl  0.0000  0.5000  0.1232 x4
Tl  0.0000  0.5000  0.3699 x4
Hg  0.5000  0.5000  0.5000 x1
Sb  0.5000  0.5000  0.0000 x1
Sb  0.5000  0.5000  0.2546 x2

As for the uncorrected formation energy: -0.0072 eV/atom. The value obtained for the density is 10.2 g/cm3.

Compound: GaAgPCl2
Source: Alexandria via LeMat-Bulk
Functional: PBE-GGA
Structure: relaxed

Unit cell a=4.9044 b=4.9044 c=4.9057 alpha=90.00 beta=90.00 gamma=90.00
Space group P4/mmm (No. 123)
Inequivalent atoms, fractional coordinates:
Ga  0.0000  0.0000  0.0000 x1
Ag  0.5000  0.5000  0.5000 x1
P  0.0000  0.0000  0.5000 x1
Cl  0.0000  0.5000  0.0000 x2

As for the uncorrected formation energy: 0.1301 eV/atom. The value obtained for the density is 3.9 g/cm3.

Compound: CsRb2ZnHg
Source: Alexandria via LeMat-Bulk
Functional: PBE-GGA
Structure: relaxed

Unit cell a=7.1337 b=7.1337 c=5.7538 alpha=90.00 beta=90.00 gamma=90.00
Space group P4/mmm (No. 123)
Inequivalent atoms, fractional coordinates:
Cs  0.0000  0.0000  0.0000 x1
Rb  0.0000  0.5000  0.5000 x2
Zn  0.5000  0.5000  0.0000 x1
Hg  0.5000  0.5000  0.5000 x1

Its formation energy is 4.9 kJ per mole of atoms. The value obtained for the density is 3.2 g/cm3.

> Among the records above, which one has the lowest density?

CsRb2ZnHg

> Among the records above, which one has the highest density?

Tl12HgSb3

> Which value of density does entry 4 give?

8.7 g/cm3

> Which of these has the lowest density?

CsRb2ZnHg